Here is an optimized crystal structure of SrPm2Pr from Alexandria via LeMat-Bulk. Energies are from GGA-PBE.

```
SrPm2Pr
1.0
1.849 1.068 13.133
-1.849 1.068 13.133
0.000 -2.135 13.133
Sr Pm Pr
1 2 1
direct
0.000 0.000 0.000 Sr
0.092 0.092 0.092 Pm
0.908 0.908 0.908 Pm
0.500 0.500 0.500 Pr
```

As for the raw total energy: -15.222 eV for the cell shown. Its space group is R-3m (166). The formation energy is 0.185 eV per atom. For the calculated density, the calculation gives 5.5 Mg/m³. The energy relative to the lowest polymorph listed for this composition is 93 meV per atom.